NaCa2InO4 after structural relaxation, computed with PBE.

Unit cell a=6.6747 b=6.6747 c=6.7770 alpha=120.51 beta=120.51 gamma=88.27
Fractional coordinates of all 16 atoms:
1 In 0.5000 0.5000 0.5000
2 In 0.0000 0.0000 0.0000
3 O 0.2485 0.7735 0.0110
4 O 0.7492 0.7507 0.9921
5 O 0.7265 0.2515 0.4890
6 O 0.2507 0.2493 0.4921
7 O 0.7515 0.2265 0.9890
8 O 0.2735 0.7485 0.5110
9 O 0.2507 0.2493 0.0079
10 O 0.7493 0.7508 0.5079
11 Ca 0.0000 0.0000 0.5000
12 Ca 0.5000 0.0000 0.5000
13 Ca 0.5000 0.5000 0.0000
14 Ca 0.5000 0.0000 0.0000
15 Na 0.0000 0.5000 0.0000
16 Na 0.0000 0.5000 0.5000

The uncorrected formation energy comes out at -2.231 eV per atom. The space group is Imma, No. 74.